Record 1
Here is a relaxed Li2FeCuGe crystal from Alexandria. Energies are from GGA-PBE.

Properties
* SG: P4/mmm (123)
* DOS(E_F): 2.471 states/eV/cell
* total magnetic moment: 2.87 μB/f.u.
* formation enthalpy at 0 K: 0.492 eV per atom

Cell lengths 4.234, 4.598, 4.234 Å; angles 90.00, 90.00, 90.00 degrees
Last column: magnetic moment on the atom in μB.
Positions (direct):
Fe (0.000, 0.500, 0.000)  2.89
Li (0.000, 0.000, 0.500)  -0.02
Cu (0.000, 0.000, 0.000)  0.06
Ge (0.500, 0.500, 0.500)  -0.04
Li (0.500, 0.000, 0.000)  -0.02

Record 2
Here is a relaxed MnV2TeAu crystal from Alexandria. Energies are from GGA-PBE.

Properties
* SG: P4/mmm (123)
* DOS(E_F): 8.924 states/eV/cell
* total magnetic moment: 5.24 μB/f.u.
* formation energy without anion corrections: 1.5364 eV/atom

Cell lengths 4.814, 5.466, 4.814 Å; angles 90.00, 90.00, 90.00 degrees
Last column: magnetic moment on the atom in μB.
Positions (direct):
V (0.000, 0.000, 0.500)  0.27
Au (0.000, 0.000, 0.000)  0.00
V (0.500, 0.000, 0.000)  0.24
Te (0.000, 0.500, 0.000)  -0.02
Mn (0.500, 0.500, 0.500)  4.29

Record 3
Here is a relaxed NaAg7Br12 crystal from Alexandria. Energies are from GGA-PBE.

Properties
* SG: Im-3 (204)
* DOS(E_F): 20.230 states/eV/cell
* total magnetic moment: 0.00 μB/f.u.
* formation energy without anion corrections: -0.3541 eV/atom

Cell lengths 9.003, 9.003, 9.003 Å; angles 109.47, 109.47, 109.47 degrees
Positions (direct):
Na (0.000, 0.000, 0.000)
Ag (0.500, 0.000, 0.500)
Br (0.175, 0.486, 0.310)
Br (0.486, 0.310, 0.175)
Br (0.825, 0.135, 0.310)
Ag (0.000, 0.000, 0.500)
Ag (0.500, 0.500, 0.500)
Br (0.865, 0.690, 0.175)
Ag (0.500, 0.500, 0.000)
Br (0.175, 0.865, 0.690)
Br (0.690, 0.825, 0.514)
Br (0.690, 0.175, 0.865)
Br (0.135, 0.310, 0.825)
Ag (0.500, 0.000, 0.000)
Br (0.310, 0.825, 0.135)
Ag (0.000, 0.500, 0.500)
Ag (0.000, 0.500, 0.000)
Br (0.310, 0.175, 0.486)
Br (0.825, 0.514, 0.690)
Br (0.514, 0.690, 0.825)

Record 4
Here is a relaxed Cs3PuCu2Br9 crystal from Alexandria. Energies are from GGA-PBE.

Properties
* SG: P-3m1 (164)
* DOS(E_F): 13.087 states/eV/cell
* total magnetic moment: 3.99 μB/f.u.
* formation energy without anion corrections: -1.2353 eV/atom

Cell lengths 7.843, 7.843, 9.639 Å; angles 90.00, 90.00, 120.00 degrees
Last column: magnetic moment on the atom in μB.
Positions (direct):
Cs (0.000, 0.000, 0.000)  0.00
Br (0.000, 0.500, 0.000)  -0.04
Br (0.662, 0.831, 0.331)  -0.05
Pu (0.000, 0.000, 0.500)  4.78
Br (0.169, 0.338, 0.331)  -0.05
Cs (0.333, 0.667, 0.675)  0.00
Br (0.500, 0.500, 0.000)  -0.04
Br (0.831, 0.662, 0.669)  -0.05
Cs (0.667, 0.333, 0.325)  0.00
Cu (0.333, 0.667, 0.107)  -0.17
Cu (0.667, 0.333, 0.893)  -0.17
Br (0.338, 0.169, 0.669)  -0.05
Br (0.500, 0.000, 0.000)  -0.04
Br (0.169, 0.831, 0.331)  -0.05
Br (0.831, 0.169, 0.669)  -0.05

Record 5
Here is a relaxed MnPtAu2 crystal from Alexandria. Energies are from GGA-PBE.

Properties
* SG: R3m (160)
* DOS(E_F): 2.578 states/eV/cell
* total magnetic moment: 4.23 μB/f.u.
* formation enthalpy at 0 K: -0.047 eV per atom

Cell lengths 9.201, 9.201, 9.201 Å; angles 18.27, 18.27, 18.27 degrees
Last column: magnetic moment on the atom in μB.
Positions (direct):
Au (0.244, 0.244, 0.244)  0.04
Mn (0.498, 0.498, 0.498)  3.75
Pt (0.757, 0.757, 0.757)  0.23
Au (0.001, 0.001, 0.001)  0.01

Record 6
Here is a relaxed TlRhW2 crystal from Alexandria. Energies are from GGA-PBE.

Properties
* SG: R-3m (166)
* DOS(E_F): 4.704 states/eV/cell
* total magnetic moment: 0.00 μB/f.u.
* formation enthalpy at 0 K: 0.596 eV per atom
* polymorph energy (0 for the lowest one): 23.20 kJ/mol of atoms

Cell lengths 9.627, 9.627, 9.627 Å; angles 17.30, 17.30, 17.30 degrees
Positions (direct):
W (0.244, 0.244, 0.244)
Rh (0.500, 0.500, 0.500)
Tl (0.000, 0.000, 0.000)
W (0.756, 0.756, 0.756)

Question: Look up the total magnetic moment of the third one.
Answer: 0.00 μB/f.u.

Question: Which formula does entry 5 have?
Answer: MnPtAu2

Question: DOS(E_F) of number 5 (MnPtAu2)?
Answer: 2.578 states/eV/cell

Question: The highest DOS(E_F) belongs to which entry?
Answer: NaAg7Br12